Entry 1:
The following is a GGA-PBE calculation of an optimized crystal structure of RbErTiO4, from Alexandria via LeMat-Bulk.

calculated volume: 18.5 Å³/atom
formation energy without anion corrections: -2935.3 meV/atom
DOS(E_F): 0.00 states/eV/cell
raw total energy: -7.687 eV/atom
total moment: 0.00 Bohr magnetons per cell
symmetry: No. 11
ρ: 4.67 g/cm3

abc: 5.8913 6.0068 7.7903
angles: 90.00 109.76 90.00
Positions (direct):
Rb 0.1877 0.2500 0.4361
Rb 0.8123 0.7500 0.5639
Er 0.3143 0.2500 0.9608
Er 0.6857 0.7500 0.0392
Ti 0.2308 0.7500 0.1527
Ti 0.7692 0.2500 0.8473
O 0.0045 0.7500 0.9332
O 0.0310 0.7500 0.2885
O 0.4520 0.5232 0.1630
O 0.4520 0.9768 0.1630
O 0.5480 0.0232 0.8370
O 0.5480 0.4768 0.8370
O 0.9690 0.2500 0.7115
O 0.9955 0.2500 0.0668


Entry 2:
The following is a GGA-PBE calculation of an optimized crystal structure of Rb3ErTl2O6, from Alexandria via LeMat-Bulk.

calculated volume: 17.4 Å³/atom
formation energy without anion corrections: -1535.0 meV/atom
raw total energy: -5.031 eV/atom
total moment: 0.00 Bohr magnetons per cell
symmetry: No. 12
ρ: 7.36 g/cm3

abc: 6.0818 6.0818 6.8432
angles: 98.48 98.48 120.03
Positions (direct):
Rb 0.0000 0.0000 0.0000
Rb 0.3302 0.6698 0.0000
Rb 0.6698 0.3302 0.0000
Er 0.5000 0.5000 0.5000
Tl 0.1663 0.8337 0.5000
Tl 0.8337 0.1663 0.5000
O 0.1140 0.4387 0.3164
O 0.2369 0.2369 0.6846
O 0.4387 0.1140 0.3164
O 0.5613 0.8860 0.6836
O 0.7631 0.7631 0.3154
O 0.8860 0.5613 0.6836


Entry 3:
The following is a GGA-PBE calculation of an optimized crystal structure of RbErTlO3, from Alexandria via LeMat-Bulk.

calculated volume: 21.6 Å³/atom
formation energy without anion corrections: -1974.7 meV/atom
DOS(E_F): 1.60 states/eV/cell
raw total energy: -5.770 eV/atom
total moment: 0.00 Bohr magnetons per cell
symmetry: No. 11
ρ: 6.47 g/cm3

abc: 7.0716 3.4942 11.0231
angles: 90.00 107.73 90.00
Positions (direct):
Rb 0.0018 0.2500 0.2857
Rb 0.9982 0.7500 0.7143
Er 0.4782 0.7500 0.6258
Er 0.5218 0.2500 0.3742
Tl 0.4450 0.7500 0.1030
Tl 0.5550 0.2500 0.8970
O 0.2998 0.2500 0.1627
O 0.3260 0.2500 0.6989
O 0.3463 0.7500 0.4182
O 0.6537 0.2500 0.5818
O 0.6740 0.7500 0.3011
O 0.7002 0.7500 0.8373


Entry 4:
The following is a GGA-PBE calculation of an optimized crystal structure of Rb2ErTlO4, from Alexandria via LeMat-Bulk.

calculated volume: 21.8 Å³/atom
formation energy without anion corrections: -1800.8 meV/atom
DOS(E_F): 0.00 states/eV/cell
raw total energy: -5.388 eV/atom
total moment: 0.00 Bohr magnetons per cell
symmetry: No. 82
ρ: 5.77 g/cm3

abc: 6.2592 6.2592 6.2592
angles: 119.55 119.55 90.78
Positions (direct):
Rb 0.0000 0.0000 0.0000
Rb 0.7500 0.2500 0.5000
Er 0.2500 0.7500 0.5000
Tl 0.5000 0.5000 0.0000
O 0.2221 0.6342 0.1027
O 0.3658 0.4685 0.5879
O 0.5315 0.1194 0.8973
O 0.8806 0.7779 0.4121


Entry 5:
The following is a GGA-PBE calculation of an optimized crystal structure of Rb3Er2TlO6, from Alexandria via LeMat-Bulk.

calculated volume: 17.3 Å³/atom
formation energy without anion corrections: -2122.0 meV/atom
DOS(E_F): 0.00 states/eV/cell
raw total energy: -5.801 eV/atom
total moment: 0.00 Bohr magnetons per cell
symmetry: No. 12
ρ: 7.13 g/cm3

abc: 6.0435 6.0435 6.8603
angles: 98.41 98.41 120.01
Positions (direct):
Rb 0.0000 0.0000 0.0000
Rb 0.3362 0.6638 0.0000
Rb 0.6638 0.3362 0.0000
Er 0.1669 0.8331 0.5000
Er 0.8331 0.1669 0.5000
Tl 0.5000 0.5000 0.5000
O 0.0946 0.4400 0.3196
O 0.2149 0.2149 0.6795
O 0.4400 0.0946 0.3196
O 0.5600 0.9054 0.6804
O 0.7851 0.7851 0.3205
O 0.9054 0.5600 0.6804


Entry 6:
The following is a GGA-PBE calculation of an optimized crystal structure of Rb2ErTmO4, from Alexandria via LeMat-Bulk.

calculated volume: 17.0 Å³/atom
formation energy without anion corrections: -2734.2 meV/atom
DOS(E_F): 0.00 states/eV/cell
raw total energy: -6.584 eV/atom
total moment: 0.00 Bohr magnetons per cell
symmetry: No. 10
ρ: 6.98 g/cm3

abc: 5.9967 3.4622 6.8422
angles: 90.00 106.98 90.00
Positions (direct):
Rb 0.0000 0.0000 0.0000
Rb 0.5000 0.5000 0.0000
Er 0.0000 0.5000 0.5000
Tm 0.5000 0.0000 0.5000
O 0.2258 0.0000 0.6735
O 0.2770 0.5000 0.3268
O 0.7230 0.5000 0.6732
O 0.7742 0.0000 0.3265


Entry 7:
The following is a GGA-PBE calculation of an optimized crystal structure of Rb3Er2TmO6, from Alexandria via LeMat-Bulk.

calculated volume: 17.0 Å³/atom
formation energy without anion corrections: -2730.9 meV/atom
DOS(E_F): 0.00 states/eV/cell
raw total energy: -6.585 eV/atom
total moment: 0.00 Bohr magnetons per cell
symmetry: No. 12
ρ: 6.96 g/cm3

abc: 6.0033 6.0033 6.8450
angles: 98.41 98.41 120.00
Positions (direct):
Rb 0.0000 0.0000 0.0000
Rb 0.3333 0.6667 0.0000
Rb 0.6667 0.3333 0.0000
Er 0.1667 0.8333 0.5000
Er 0.8333 0.1667 0.5000
Tm 0.5000 0.5000 0.5000
O 0.1104 0.4421 0.3265
O 0.2261 0.2261 0.6736
O 0.4421 0.1104 0.3265
O 0.5579 0.8896 0.6735
O 0.7739 0.7739 0.3264
O 0.8896 0.5579 0.6735


Entry 8:
The following is a GGA-PBE calculation of an optimized crystal structure of Rb2ErUO6, from Alexandria via LeMat-Bulk.

calculated volume: 16.5 Å³/atom
formation energy without anion corrections: -2673.2 meV/atom
DOS(E_F): 8.40 states/eV/cell
raw total energy: -7.427 eV/atom
total moment: 1.04 Bohr magnetons per cell
symmetry: No. 225
ρ: 6.75 g/cm3

abc: 6.1603 6.1603 6.1603
angles: 60.00 60.00 60.00
Positions (direct):
Rb 0.2500 0.2500 0.2500
Rb 0.7500 0.7500 0.7500
Er 0.0000 0.0000 0.0000
U 0.5000 0.5000 0.5000
O 0.2601 0.2601 0.7399
O 0.2601 0.7399 0.2601
O 0.2601 0.7399 0.7399
O 0.7399 0.2601 0.2601
O 0.7399 0.2601 0.7399
O 0.7399 0.7399 0.2601